Computed, not measured: a relaxed V3CoSi crystal at the PBE-GGA level of DFT.

Cell: 5.8707 5.8707 5.8707 Å, 88.43 113.16 129.34°
With the nearest neighbours (Å) after each atom.
Fractional coordinates of all 10 atoms:
V1 0.0422 0.3079 0.7186  1 Co 2.24, 1 V 2.46
V2 0.0422 0.8236 0.2344  1 Co 2.24, 1 V 2.46
V3 0.5893 0.8079 0.7656  1 Co 2.24, 1 V 2.46
V4 0.1171 0.2772 0.3399  1 Co 2.30, 3 Si 2.41-2.54, 2 V 2.46
V5 0.5893 0.3236 0.2814  1 Co 2.24, 1 V 2.46
V6 0.9373 0.7772 0.6601  1 Co 2.30, 3 Si 2.41-2.54, 2 V 2.46
Co1 0.4552 0.9735 0.9817  2 Si 2.21-2.31, 3 V 2.24-2.30
Co2 0.9918 0.4735 0.0183  2 Si 2.21-2.31, 3 V 2.24-2.30
Si1 0.5641 0.7761 0.2880  2 Co 2.21-2.31, 1 V 2.41
Si2 0.4881 0.2761 0.7120  2 Co 2.21-2.31, 1 V 2.41

Results
Formation energy (no corrections) (meV/atom): 60
DOS at the Fermi energy (states/eV/f.u.): 6.279
Offset from the most stable computed form (meV/atom): 0.0

---

Computed, not measured: a relaxed Ca2TbCe3Te6 crystal at the PBE-GGA level of DFT.

Cell: 7.7030 7.7030 7.8508 Å, 99.42 99.42 119.96°
With the nearest neighbours (Å) after each atom.
Fractional coordinates of all 12 atoms:
Ca1 0.3338 0.6662 0.0000  6 Te 3.14
Ca2 0.6662 0.3338 0.0000  6 Te 3.14
Tb1 0.0000 0.0000 0.0000  6 Te 3.11-3.12
Ce1 0.1685 0.8315 0.5000  6 Te 3.20-3.21
Ce2 0.8315 0.1685 0.5000  6 Te 3.20-3.21
Ce3 0.5000 0.5000 0.5000  6 Te 3.20-3.21
Te1 0.9199 0.5888 0.7593  1 Tb 3.11, 2 Ca 3.14, 3 Ce 3.20-3.21
Te2 0.7504 0.7504 0.2434  1 Tb 3.12, 2 Ca 3.14, 3 Ce 3.21
Te3 0.0801 0.4112 0.2407  1 Tb 3.11, 2 Ca 3.14, 3 Ce 3.20-3.21
Te4 0.5888 0.9199 0.7593  1 Tb 3.11, 2 Ca 3.14, 3 Ce 3.20-3.21
Te5 0.2496 0.2496 0.7566  1 Tb 3.12, 2 Ca 3.14, 3 Ce 3.21
Te6 0.4112 0.0801 0.2407  1 Tb 3.11, 2 Ca 3.14, 3 Ce 3.20-3.21

Results
Formation energy (no corrections) (meV/atom): -1422
DOS at the Fermi energy (states/eV/f.u.): 23.089

---

Computed, not measured: a relaxed KLaAs2 crystal at the PBE-GGA level of DFT.

Cell: 4.1054 4.1118 8.2829 Å, 60.04 90.00 90.00°
With the nearest neighbours (Å) after each atom.
Fractional coordinates of all 4 atoms:
As1 0.0000 0.0726 0.9265  1 As 2.53
As2 0.0000 0.4274 0.5735  1 As 2.53
K1 0.5000 0.2500 0.2500  2 La 3.59, 8 As 3.71-3.73
La1 0.5000 0.7500 0.7500  8 As 3.17

Results
DOS at the Fermi energy (states/eV/f.u.): 0.934
Energy of formation (meV/atom): -881
Offset from the most stable computed form (meV/atom): 0.0

---

Computed, not measured: a relaxed CeZrCdAu crystal at the PBE-GGA level of DFT.

Cell: 5.1309 5.1309 5.1309 Å, 60.00 60.00 60.00°
With the nearest neighbours (Å) after each atom.
Fractional coordinates of all 4 atoms:
Au1 0.2500 0.2500 0.2500  4 Zr 3.14, 4 Ce 3.14
Zr1 0.0000 0.0000 0.0000  4 Au 3.14, 4 Cd 3.14
Ce1 0.5000 0.5000 0.5000  4 Cd 3.14, 4 Au 3.14
Cd1 0.7500 0.7500 0.7500  4 Ce 3.14, 4 Zr 3.14

Results
DOS at the Fermi energy (states/eV/f.u.): 8.268
Energy of formation (meV/atom): -200

---

Computed, not measured: a relaxed Ac3Pa3NbN8 crystal at the PBE-GGA level of DFT.

Cell: 7.0409 7.0352 7.3390 Å, 118.64 89.99 120.01°
With the nearest neighbours (Å) after each atom.
Fractional coordinates of all 15 atoms:
Ac1 0.0000 0.0000 0.0000  6 N 2.77-2.78
Ac2 0.0000 0.5000 0.0000  6 N 2.77-2.78
Ac3 0.5000 0.5000 0.0000  6 N 2.77-2.78
Pa1 0.5000 0.0000 0.5000  6 N 2.34-2.36
Pa2 0.5000 0.5000 0.5000  6 N 2.34-2.36
Pa3 0.0000 0.5000 0.5000  6 N 2.34-2.36
Nb1 0.0000 0.0000 0.5000  6 N 2.23
N1 0.2697 0.5391 0.3088  3 Pa 2.34
N2 0.7303 0.4609 0.6912  3 Pa 2.34
N3 0.7813 0.5624 0.3182  1 Nb 2.23, 2 Pa 2.36
N4 0.2187 0.4376 0.6818  1 Nb 2.23, 2 Pa 2.36
N5 0.7813 0.0376 0.3185  1 Nb 2.23, 2 Pa 2.36
N6 0.2187 0.9624 0.6815  1 Nb 2.23, 2 Pa 2.36
N7 0.2564 0.0376 0.3186  1 Nb 2.23, 2 Pa 2.36
N8 0.7436 0.9624 0.6814  1 Nb 2.23, 2 Pa 2.36

Results
Formation energy (no corrections) (meV/atom): -1295
DOS at the Fermi energy (states/eV/f.u.): 6.370

---

Computed, not measured: a relaxed BOs4 crystal at the PBE-GGA level of DFT.

Cell: 4.0566 4.0566 4.0566 Å, 90.00 90.00 90.00°
With the nearest neighbours (Å) after each atom.
Fractional coordinates of all 5 atoms:
B1 0.5000 0.5000 0.5000  6 Os 2.03
Os1 0.0000 0.0000 0.0000  12 Os 2.87
Os2 0.5000 0.0000 0.5000  2 B 2.03
Os3 0.0000 0.5000 0.5000  2 B 2.03
Os4 0.5000 0.5000 0.0000  2 B 2.03

Results
DOS at the Fermi energy (states/eV/f.u.): 6.101
Energy of formation (meV/atom): 489

---

Computed, not measured: a relaxed Ho6C3Se2 crystal at the PBE-GGA level of DFT.

Cell: 6.3794 6.3793 6.9323 Å, 81.12 72.02 60.00°
With the nearest neighbours (Å) after each atom.
Fractional coordinates of all 11 atoms:
Ho1 0.4001 0.6628 0.8001  3 C 2.46-2.51
Ho2 0.7361 0.0000 0.8043  3 C 2.47-2.52
Ho3 0.0628 0.3372 0.8001  3 C 2.46-2.51
Ho4 0.2639 0.0000 0.1957  3 C 2.47-2.52
Ho5 0.5999 0.3372 0.1999  3 C 2.46-2.51
Ho6 0.9372 0.6628 0.1999  3 C 2.46-2.51
C1 0.0000 0.0000 0.0000  6 Ho 2.47-2.51
C2 0.3307 0.3385 0.0000  6 Ho 2.46-2.52
C3 0.6693 0.6615 0.0000  6 Ho 2.46-2.52
Se1 0.1658 0.6683 0.5000  6 Ho 2.90-2.91
Se2 0.8342 0.3317 0.5000  6 Ho 2.90-2.91

Results
Formation energy (no corrections) (meV/atom): -945
DOS at the Fermi energy (states/eV/f.u.): 3.217

---

Computed, not measured: a relaxed LaTa2Cl crystal at the PBE-GGA level of DFT.

Cell: 3.2269 4.5686 6.3384 Å, 90.00 90.00 90.00°
With the nearest neighbours (Å) after each atom.
Fractional coordinates of all 4 atoms:
Cl1 0.5000 0.0000 0.5000  4 La 2.80
La1 0.0000 0.5000 0.5000  4 Cl 2.80
Ta1 0.0000 0.0000 0.0000  4 Ta 2.80
Ta2 0.5000 0.5000 0.0000  4 Ta 2.80

Results
Formation energy (no corrections) (meV/atom): 149
DOS at the Fermi energy (states/eV/f.u.): 4.961
Offset from the most stable computed form (meV/atom): 346.8

---

Computed, not measured: a relaxed Tb8RuPt2 crystal at the PBE-GGA level of DFT.

Cell: 6.0090 7.6173 7.6173 Å, 113.47 100.68 100.68°
With the nearest neighbours (Å) after each atom.
Fractional coordinates of all 11 atoms:
Tb1 0.5826 0.3367 0.0832  2 Pt 2.82-2.85, 1 Ru 3.11
Tb2 0.5826 0.0832 0.3367  2 Pt 2.82-2.85, 1 Ru 3.11
Tb3 0.1694 0.3584 0.3584  1 Ru 2.91, 2 Pt 3.07
Tb4 0.9899 0.2110 0.7908  1 Ru 2.82
Tb5 0.9899 0.7908 0.2110  1 Ru 2.82
Tb6 0.8134 0.6479 0.6479  1 Ru 2.95, 2 Pt 3.06
Tb7 0.3771 0.9222 0.6689  2 Pt 2.84-2.88, 1 Ru 3.07
Tb8 0.3771 0.6689 0.9222  2 Pt 2.84-2.88, 1 Ru 3.07
Ru1 0.1360 0.0034 0.0034  8 Tb 2.82-3.11
Pt1 0.4909 0.6944 0.3169  6 Tb 2.82-3.07
Pt2 0.4909 0.3169 0.6944  6 Tb 2.82-3.07

Results
DOS at the Fermi energy (states/eV/f.u.): 11.868
Energy of formation (meV/atom): -477
Offset from the most stable computed form (meV/atom): 84.7

---

Computed, not measured: a relaxed CaLaTl crystal at the PBE-GGA level of DFT.

Cell: 5.2971 5.2971 12.2671 Å, 90.00 90.00 120.00°
With the nearest neighbours (Å) after each atom.
Fractional coordinates of all 6 atoms:
Tl1 0.0000 0.0000 0.2500  3 Ca 3.06, 2 La 3.07
Tl2 0.0000 0.0000 0.7500  3 Ca 3.06, 2 La 3.07
Ca1 0.3333 0.6667 0.2500  3 Tl 3.06
Ca2 0.6667 0.3333 0.7500  3 Tl 3.06
La1 0.0000 0.0000 0.0000  2 Tl 3.07
La2 0.0000 0.0000 0.5000  2 Tl 3.07

Results
DOS at the Fermi energy (states/eV/f.u.): 5.120
Energy of formation (meV/atom): 392
Offset from the most stable computed form (meV/atom): 790.4

---

Computed, not measured: a relaxed BaSn3Rh2 crystal at the PBE-GGA level of DFT.

Cell: 4.1267 6.3193 6.3187 Å, 120.00 90.00 90.00°
With the nearest neighbours (Å) after each atom.
Fractional coordinates of all 6 atoms:
Ba1 0.0000 0.0012 0.0000  6 Rh 3.65, 12 Sn 3.77
Sn1 0.5000 0.0012 0.4999  4 Rh 2.75
Sn2 0.5000 0.5013 0.5000  4 Rh 2.75
Sn3 0.5000 0.5014 0.0000  4 Rh 2.75
Rh1 0.0000 0.3345 0.6667  6 Sn 2.75
Rh2 0.0000 0.6678 0.3333  6 Sn 2.75

Results
DOS at the Fermi energy (states/eV/f.u.): 4.986
Energy of formation (meV/atom): -433

---

Computed, not measured: a relaxed HoAl3Fe2 crystal at the PBE-GGA level of DFT.

Cell: 5.1470 6.2035 6.2036 Å, 98.23 90.00 90.00°
With the nearest neighbours (Å) after each atom.
Fractional coordinates of all 12 atoms:
Ho1 0.2500 0.3551 0.3551  7 Al 3.09-3.20, 4 Fe 3.12
Ho2 0.7500 0.6449 0.6449  7 Al 3.09-3.20, 4 Fe 3.12
Al1 0.7500 0.4565 0.0802  4 Fe 2.42-2.55, 1 Al 2.64
Al2 0.7500 0.0802 0.4565  4 Fe 2.42-2.55, 1 Al 2.64
Al3 0.2500 0.5435 0.9198  4 Fe 2.42-2.55, 1 Al 2.64
Al4 0.7500 0.0264 0.0264  4 Fe 2.48, 4 Al 2.61-2.64
Al5 0.2500 0.9736 0.9736  4 Fe 2.48, 4 Al 2.61-2.64
Al6 0.2500 0.9198 0.5435  4 Fe 2.42-2.55, 1 Al 2.64
Fe1 0.5000 0.7756 0.2244  6 Al 2.42-2.55, 2 Fe 2.57
Fe2 0.0000 0.7756 0.2244  6 Al 2.42-2.55, 2 Fe 2.57
Fe3 0.0000 0.2244 0.7756  6 Al 2.42-2.55, 2 Fe 2.57
Fe4 0.5000 0.2244 0.7756  6 Al 2.42-2.55, 2 Fe 2.57

Results
DOS at the Fermi energy (states/eV/f.u.): 4.652
Energy of formation (meV/atom): -354

---

Computed, not measured: a relaxed CaTm2SnO6 crystal at the PBE-GGA level of DFT.

Cell: 5.6655 5.6656 5.9861 Å, 61.75 61.75 60.00°
With the nearest neighbours (Å) after each atom.
Fractional coordinates of all 10 atoms:
Ca1 0.8030 0.8030 0.5911  6 O 2.28-2.49
Tm1 0.5246 0.5247 0.4260  6 O 2.23-2.31
Tm2 0.0206 0.0206 0.9381  6 O 2.18-2.34
Sn1 0.3164 0.3164 0.0507  6 O 2.10-2.16
O1 0.5956 0.2228 0.2423  1 Sn 2.10, 2 Tm 2.23-2.34
O2 0.2228 0.9393 0.2423  1 Sn 2.10, 2 Tm 2.23-2.34
O3 0.9393 0.5956 0.2423  1 Sn 2.10, 2 Tm 2.23-2.34
O4 0.3972 0.7019 0.7607  1 Sn 2.16, 2 Tm 2.18-2.31, 1 Ca 2.28
O5 0.7019 0.1402 0.7608  1 Sn 2.16, 2 Tm 2.18-2.31, 1 Ca 2.28
O6 0.1402 0.3972 0.7608  1 Sn 2.16, 2 Tm 2.18-2.31, 1 Ca 2.28

Results
Formation energy (no corrections) (meV/atom): -2919
DOS at the Fermi energy (states/eV/f.u.): 0.000

---

Computed, not measured: a relaxed Nd2MgCd12Ag3 crystal at the PBE-GGA level of DFT.

Cell: 7.5820 7.5820 7.5820 Å, 84.93 84.93 84.93°
With the nearest neighbours (Å) after each atom.
Fractional coordinates of all 18 atoms:
Nd1 0.7373 0.7373 0.7373  3 Ag 3.26, 9 Cd 3.39-3.52
Nd2 0.2627 0.2627 0.2627  3 Ag 3.26, 9 Cd 3.39-3.52
Mg1 0.0000 0.0000 0.0000  6 Cd 2.92
Cd1 0.4232 0.4232 0.8541  6 Cd 2.87-3.18
Cd2 0.8030 0.8030 0.2897  1 Ag 2.87, 5 Cd 2.87-3.04, 1 Mg 2.92
Cd3 0.2897 0.8030 0.8030  1 Ag 2.87, 5 Cd 2.87-3.04, 1 Mg 2.92
Cd4 0.8541 0.4232 0.4232  6 Cd 2.87-3.18
Cd5 0.8030 0.2897 0.8030  1 Ag 2.87, 5 Cd 2.87-3.04, 1 Mg 2.92
Cd6 0.4232 0.8541 0.4232  6 Cd 2.87-3.18
Cd7 0.5768 0.5768 0.1459  6 Cd 2.87-3.18
Cd8 0.1970 0.1970 0.7103  1 Ag 2.87, 5 Cd 2.87-3.04, 1 Mg 2.92
Cd9 0.7103 0.1970 0.1970  1 Ag 2.87, 5 Cd 2.87-3.04, 1 Mg 2.92
Cd10 0.1459 0.5768 0.5768  6 Cd 2.87-3.18
Cd11 0.1970 0.7103 0.1970  1 Ag 2.87, 5 Cd 2.87-3.04, 1 Mg 2.92
Cd12 0.5768 0.1459 0.5768  6 Cd 2.87-3.18
Ag1 0.5000 0.0000 0.0000  2 Cd 2.87
Ag2 0.0000 0.5000 0.0000  2 Cd 2.87
Ag3 0.0000 0.0000 0.5000  2 Cd 2.87

Results
DOS at the Fermi energy (states/eV/f.u.): 11.646
Energy of formation (meV/atom): -18

---

Computed, not measured: a relaxed HoTh4Sc crystal at the PBE-GGA level of DFT.

Cell: 6.0958 7.1076 9.2242 Å, 78.89 76.48 72.97°
With the nearest neighbours (Å) after each atom.
Fractional coordinates of all 12 atoms:
Ho1 0.5000 0.7500 0.5000  10 Th 3.52-3.54, 2 Ho 3.55
Ho2 0.5000 0.2500 0.5000  10 Th 3.52-3.54, 2 Ho 3.55
Th1 0.9941 0.5831 0.6721  2 Sc 3.46-3.47, 7 Th 3.51-3.58, 3 Ho 3.52-3.54
Th2 0.4925 0.4178 0.8382  7 Th 3.44-3.55, 3 Sc 3.45-3.54, 2 Ho 3.53
Th3 0.0059 0.9169 0.3279  2 Sc 3.46-3.47, 7 Th 3.51-3.58, 3 Ho 3.52-3.54
Th4 0.5075 0.5822 0.1618  7 Th 3.44-3.55, 3 Sc 3.45-3.54, 2 Ho 3.53
Th5 0.5075 0.0822 0.1618  7 Th 3.44-3.55, 3 Sc 3.45-3.54, 2 Ho 3.53
Th6 0.9941 0.0831 0.6721  2 Sc 3.46-3.47, 7 Th 3.51-3.58, 3 Ho 3.52-3.54
Th7 0.4925 0.9178 0.8382  7 Th 3.44-3.55, 3 Sc 3.45-3.54, 2 Ho 3.53
Th8 0.0059 0.4169 0.3279  2 Sc 3.46-3.47, 7 Th 3.51-3.58, 3 Ho 3.52-3.54
Sc1 0.0000 0.7500 0.0000  10 Th 3.45-3.54, 2 Sc 3.55
Sc2 0.0000 0.2500 0.0000  10 Th 3.45-3.54, 2 Sc 3.55

Results
DOS at the Fermi energy (states/eV/f.u.): 9.392
Energy of formation (meV/atom): 40
Offset from the most stable computed form (meV/atom): 0.0

---

Computed, not measured: a relaxed La2Zn3Ga4Ir crystal at the PBE-GGA level of DFT.

Cell: 4.3081 4.3081 10.6226 Å, 90.00 90.00 90.00°
With the nearest neighbours (Å) after each atom.
Fractional coordinates of all 10 atoms:
La1 0.5000 0.0000 0.2546  8 Ga 3.29-3.46, 6 Zn 3.30-3.38, 2 Ir 3.38
La2 0.0000 0.5000 0.7454  8 Ga 3.29-3.46, 6 Zn 3.30-3.38, 2 Ir 3.38
Zn1 0.0000 0.0000 0.5000  4 Ga 2.55
Zn2 0.5000 0.0000 0.8648  5 Ga 2.52-2.59
Zn3 0.0000 0.5000 0.1352  5 Ga 2.52-2.59
Ga1 0.5000 0.5000 0.0000  4 Zn 2.59
Ga2 0.0000 0.0000 0.0000  4 Zn 2.59
Ga3 0.5000 0.0000 0.6279  3 Zn 2.52-2.55, 2 Ir 2.55
Ga4 0.0000 0.5000 0.3721  3 Zn 2.52-2.55, 2 Ir 2.55
Ir1 0.5000 0.5000 0.5000  4 Ga 2.55

Results
DOS at the Fermi energy (states/eV/f.u.): 5.382
Energy of formation (meV/atom): -521

---

Computed, not measured: a relaxed Ca3U3InN8 crystal at the PBE-GGA level of DFT.

Cell: 6.8740 6.8738 6.9317 Å, 119.72 90.00 120.00°
With the nearest neighbours (Å) after each atom.
Fractional coordinates of all 15 atoms:
Ca1 0.0000 0.0000 0.0000  6 N 2.54-2.64
Ca2 0.0000 0.5000 0.0000  6 N 2.54-2.64
Ca3 0.5000 0.5000 0.0000  6 N 2.54-2.64
U1 0.5000 0.0000 0.5000  6 N 2.26-2.35
U2 0.5000 0.5000 0.5000  6 N 2.26-2.35
U3 0.0000 0.5000 0.5000  6 N 2.26-2.35
In1 0.0000 0.0000 0.5000  6 N 2.36
N1 0.2593 0.5185 0.2779  3 U 2.35, 3 Ca 2.54
N2 0.7407 0.4815 0.7221  3 U 2.35, 3 Ca 2.54
N3 0.7596 0.5193 0.2974  2 U 2.26, 1 In 2.36
N4 0.2404 0.4807 0.7026  2 U 2.26, 1 In 2.36
N5 0.7596 0.0378 0.2974  2 U 2.26, 1 In 2.36
N6 0.2404 0.9622 0.7026  2 U 2.26, 1 In 2.36
N7 0.2782 0.0378 0.2974  2 U 2.26, 1 In 2.36
N8 0.7218 0.9622 0.7026  2 U 2.26, 1 In 2.36

Results
Formation energy (no corrections) (meV/atom): -976
DOS at the Fermi energy (states/eV/f.u.): 8.816

---

Computed, not measured: a relaxed SmPaSi4 crystal at the PBE-GGA level of DFT.

Cell: 5.3350 5.3350 5.3350 Å, 60.00 60.00 60.00°
With the nearest neighbours (Å) after each atom.
Fractional coordinates of all 6 atoms:
Si1 0.6267 0.6267 0.1200  6 Si 2.63-2.70
Si2 0.6267 0.1200 0.6267  6 Si 2.63-2.70
Si3 0.6267 0.6267 0.6267  6 Si 2.63-2.70
Si4 0.1200 0.6267 0.6267  6 Si 2.63-2.70
Pa1 0.2500 0.2500 0.2500  12 Si 3.13, 4 Sm 3.27
Sm1 0.0000 0.0000 0.0000  12 Si 3.12, 4 Pa 3.27

Results
Formation energy (no corrections) (meV/atom): -253
DOS at the Fermi energy (states/eV/f.u.): 5.383
Offset from the most stable computed form (meV/atom): 290.8